Compound: NaHfCuSeS2
Source: OQMD
Functional: GGA-PBE
Structure: relaxed

POSCAR file:
```
NaHfCuSeS2
1.0
3.2217 2.8089 5.4607
-5.8560 -2.2709 -2.9392
1.6604 -9.0175 3.6589
Cu Hf Na S Se
2 2 2 4 2
Cartesian
-1.1957 -2.1497 1.9037
0.2218 -6.3298 4.2767
0.0000 0.0000 0.0000
0.8302 -4.5088 1.8295
1.5231 -0.6282 4.4196
-2.4970 -7.8512 1.7608
-2.3685 -0.9012 0.4121
-1.7326 -4.3548 1.8134
0.7586 -4.1246 4.3670
1.3946 -7.5782 5.7683
-4.6437 -4.0791 -1.2868
3.6698 -4.4003 7.4672
```

## Properties
**Magnetization**: 0.0 μB/cell
**Energy**: -67.24 eV/cell
**Calculated volume**: 243.27 Å³ per cell
**Space group**: Cmcm (63)